Record 1
Below is an optimized crystal structure of Li4AlPbAu2, with properties calculated at the PBE level.

Cell lengths 4.4748, 4.4748, 6.6440 Å; angles 90.00, 90.00, 90.00 degrees
Atoms (fractional coordinates):
Li  0.0000  0.0000  0.0000
Li  0.0000  0.5000  0.7292
Li  0.5000  0.0000  0.2708
Li  0.5000  0.5000  0.5000
Al  0.0000  0.0000  0.5000
Pb  0.5000  0.5000  0.0000
Au  0.0000  0.5000  0.2910
Au  0.5000  0.0000  0.7090

Properties
uncorrected energy	-3.170	eV/atom
symmetry	P-4m2

=====

Record 2
Below is an optimized crystal structure of Li2Sc2Al2PdAu, with properties calculated at the PBE level.

Cell lengths 4.5215, 4.5215, 6.4129 Å; angles 90.00, 90.00, 90.00 degrees
Atoms (fractional coordinates):
Li  0.0000  0.0000  0.0000
Li  0.5000  0.5000  0.5000
Sc  0.0000  0.5000  0.2437
Sc  0.5000  0.0000  0.7563
Al  0.0000  0.5000  0.7556
Al  0.5000  0.0000  0.2444
Pd  0.5000  0.5000  0.0000
Au  0.0000  0.0000  0.5000

Properties
uncorrected energy	-4.705	eV/atom
symmetry	P-4m2

=====

Record 3
Below is an optimized crystal structure of Li4AlSbAu2, with properties calculated at the PBE level.

Cell lengths 4.4245, 4.4245, 6.6141 Å; angles 90.00, 90.00, 90.00 degrees
Atoms (fractional coordinates):
Li  0.0000  0.0000  0.0000
Li  0.0000  0.5000  0.7378
Li  0.5000  0.0000  0.2622
Li  0.5000  0.5000  0.5000
Al  0.0000  0.0000  0.5000
Sb  0.5000  0.5000  0.0000
Au  0.0000  0.5000  0.2851
Au  0.5000  0.0000  0.7149

Properties
uncorrected energy	-3.310	eV/atom
symmetry	P-4m2

=====

Record 4
Below is an optimized crystal structure of Li2YScAl2Au2, with properties calculated at the PBE level.

Cell lengths 4.6344, 4.6344, 6.5795 Å; angles 90.00, 90.00, 90.00 degrees
Atoms (fractional coordinates):
Li  0.0000  0.5000  0.2370
Li  0.5000  0.0000  0.7630
Y  0.5000  0.5000  0.5000
Sc  0.0000  0.0000  0.0000
Al  0.0000  0.0000  0.5000
Al  0.5000  0.5000  0.0000
Au  0.0000  0.5000  0.7650
Au  0.5000  0.0000  0.2350

Properties
uncorrected energy	-4.454	eV/atom
symmetry	P-4m2

=====

Record 5
Below is an optimized crystal structure of Li4AlTlAu2, with properties calculated at the PBE level.

Cell lengths 4.4707, 4.4707, 6.5376 Å; angles 90.00, 90.00, 90.00 degrees
Atoms (fractional coordinates):
Li  0.0000  0.0000  0.0000
Li  0.0000  0.5000  0.7366
Li  0.5000  0.0000  0.2634
Li  0.5000  0.5000  0.5000
Al  0.0000  0.0000  0.5000
Tl  0.5000  0.5000  0.0000
Au  0.0000  0.5000  0.2890
Au  0.5000  0.0000  0.7110

Properties
uncorrected energy	-2.982	eV/atom
symmetry	P-4m2

=====

Record 6
Below is an optimized crystal structure of Li2Y2AlTlAu2, with properties calculated at the PBE level.

Cell lengths 4.8042, 4.8042, 6.8110 Å; angles 90.00, 90.00, 90.00 degrees
Atoms (fractional coordinates):
Li  0.0000  0.5000  0.2421
Li  0.5000  0.0000  0.7579
Y  0.0000  0.0000  0.5000
Y  0.5000  0.5000  0.0000
Al  0.0000  0.0000  0.0000
Tl  0.5000  0.5000  0.5000
Au  0.0000  0.5000  0.7726
Au  0.5000  0.0000  0.2274

Properties
uncorrected energy	-4.242	eV/atom
symmetry	P-4m2

=====

Record 7
Below is an optimized crystal structure of LiYAlAu, with properties calculated at the PBE level.

Cell lengths 4.7278, 4.7278, 6.7001 Å; angles 90.00, 90.00, 90.00 degrees
Atoms (fractional coordinates):
Li  0.0000  0.5000  0.2501
Li  0.5000  0.0000  0.7499
Y  0.0000  0.0000  0.5000
Y  0.5000  0.5000  0.0000
Al  0.0000  0.0000  0.0000
Al  0.5000  0.5000  0.5000
Au  0.0000  0.5000  0.7492
Au  0.5000  0.0000  0.2508

Properties
uncorrected energy	-4.463	eV/atom
symmetry	P-4m2

=====

Record 8
Below is an optimized crystal structure of Li4AlZn2Au, with properties calculated at the PBE level.

Cell lengths 4.3511, 4.3511, 6.1851 Å; angles 90.00, 90.00, 90.00 degrees
Atoms (fractional coordinates):
Li  0.0000  0.0000  0.0000
Li  0.0000  0.5000  0.2421
Li  0.5000  0.0000  0.7579
Li  0.5000  0.5000  0.5000
Al  0.0000  0.0000  0.5000
Zn  0.0000  0.5000  0.7427
Zn  0.5000  0.0000  0.2573
Au  0.5000  0.5000  0.0000

Properties
uncorrected energy	-2.470	eV/atom
symmetry	P-4m2